VASP calculation (GGA-PBEsol) on a relaxed structure of MnReIr2.

Output
- ΔE to the lowest computed polymorph (meV/atom) = 74.4
- symmetry = No. 123

Unit cell a=3.768 b=3.779 c=3.779 alpha=90.00 beta=90.00 gamma=90.00
Each line ends with the local moment (μB).
Fractional positions:
Ir (0.000, 0.500, 0.000)  -0.14
Mn (0.500, 0.500, 0.500)  1.77
Ir (0.000, 0.000, 0.500)  -0.14
Re (0.500, 0.000, 0.000)  -0.42

---

VASP calculation (GGA-PBEsol) on a relaxed structure of Mn2ReIr.

Output
- symmetry = No. 99

Unit cell a=2.643 b=2.643 c=7.243 alpha=90.00 beta=90.00 gamma=90.00
Each line ends with the local moment (μB).
Fractional positions:
Mn (0.000, 0.000, 0.015)  1.61
Mn (0.500, 0.500, 0.236)  -1.32
Ir (0.500, 0.500, 0.760)  -0.06
Re (0.000, 0.000, 0.489)  0.14

---

VASP calculation (GGA-PBEsol) on a relaxed structure of Mn2ReIr.

Output
- symmetry = No. 123

Unit cell a=3.600 b=3.727 c=3.727 alpha=90.00 beta=90.00 gamma=90.00
Each line ends with the local moment (μB).
Fractional positions:
Mn (0.000, 0.500, 0.000)  0.94
Mn (0.000, 0.000, 0.500)  0.94
Ir (0.500, 0.000, 0.000)  -0.08
Re (0.500, 0.500, 0.500)  -0.37

---

Number 1: formation enthalpy at 0 K -137 meV/atom, electronic total energy -10.822 eV per atom. Number 2: formation enthalpy at 0 K 1 meV/atom, electronic total energy -10.669 eV per atom. Number 3: formation enthalpy at 0 K -62 meV/atom, electronic total energy -10.732 eV per atom.